1.
Tb6Sm2Ho5: relaxed, GGA-PBE.

abc: 3.5840 11.6619 20.1901
angles: 90.00 90.00 90.00
Last column: nearest neighbours and their distance in Å.
Element x y z (fractional)
Tb1 0.0000 0.0809 0.3668  1 Sm 3.35, 6 Ho 3.37-3.54, 4 Tb 3.49-3.58
Tb2 0.0000 0.9191 0.6332  1 Sm 3.35, 6 Ho 3.37-3.54, 4 Tb 3.49-3.58
Tb3 0.0000 0.5809 0.1332  1 Sm 3.35, 6 Ho 3.37-3.54, 4 Tb 3.49-3.58
Tb4 0.0000 0.4191 0.8668  1 Sm 3.35, 6 Ho 3.37-3.54, 4 Tb 3.49-3.58
Tb5 0.5000 0.3243 0.1302  2 Ho 3.30-3.33, 4 Tb 3.49-3.58, 2 Sm 3.63
Tb6 0.5000 0.6757 0.8698  2 Ho 3.30-3.33, 4 Tb 3.49-3.58, 2 Sm 3.63
Tb7 0.5000 0.8243 0.3698  2 Ho 3.30-3.33, 4 Tb 3.49-3.58, 2 Sm 3.63
Tb8 0.5000 0.1757 0.6302  2 Ho 3.30-3.33, 4 Tb 3.49-3.58, 2 Sm 3.63
Tb9 0.0000 0.5588 0.4210  6 Ho 3.45-3.58, 5 Tb 3.47-3.73, 1 Sm 3.78
Tb10 0.0000 0.4412 0.5790  6 Ho 3.45-3.58, 5 Tb 3.47-3.73, 1 Sm 3.78
Tb11 0.0000 0.0588 0.0790  6 Ho 3.45-3.58, 5 Tb 3.47-3.73, 1 Sm 3.78
Tb12 0.0000 0.9412 0.9210  6 Ho 3.45-3.58, 5 Tb 3.47-3.73, 1 Sm 3.78
Sm1 0.0000 0.3327 0.2866  3 Tb 3.35-3.63, 6 Ho 3.52-3.74, 2 Sm 3.58
Sm2 0.0000 0.6673 0.7134  3 Tb 3.35-3.63, 6 Ho 3.52-3.74, 2 Sm 3.58
Sm3 0.0000 0.8327 0.2134  3 Tb 3.35-3.63, 6 Ho 3.52-3.74, 2 Sm 3.58
Sm4 0.0000 0.1673 0.7866  3 Tb 3.35-3.63, 6 Ho 3.52-3.74, 2 Sm 3.58
Ho1 0.5000 0.3009 0.4484  7 Tb 3.54-3.95, 3 Ho 3.58-3.66, 2 Sm 3.74
Ho2 0.5000 0.6991 0.5516  7 Tb 3.54-3.95, 3 Ho 3.58-3.66, 2 Sm 3.74
Ho3 0.5000 0.8009 0.0516  7 Tb 3.54-3.95, 3 Ho 3.58-3.66, 2 Sm 3.74
Ho4 0.5000 0.1991 0.9484  7 Tb 3.54-3.95, 3 Ho 3.58-3.66, 2 Sm 3.74
Ho5 0.5000 0.5921 0.2760  5 Tb 3.30-3.45, 4 Sm 3.52-3.56, 2 Ho 3.58
Ho6 0.5000 0.4079 0.7240  5 Tb 3.30-3.45, 4 Sm 3.52-3.56, 2 Ho 3.58
Ho7 0.5000 0.0921 0.2240  5 Tb 3.30-3.45, 4 Sm 3.52-3.56, 2 Ho 3.58
Ho8 0.5000 0.9079 0.7760  5 Tb 3.30-3.45, 4 Sm 3.52-3.56, 2 Ho 3.58
Ho9 0.5000 0.5000 0.0000  6 Tb 3.33-3.37, 4 Ho 3.58-3.66
Ho10 0.5000 0.0000 0.5000  6 Tb 3.33-3.37, 4 Ho 3.58-3.66

***

2.
Tb5Sm4Ho4: relaxed, GGA-PBE.

abc: 5.0321 9.4512 9.4512
angles: 85.94 74.56 74.56
Last column: nearest neighbours and their distance in Å.
Element x y z (fractional)
Tb1 0.6909 0.8481 0.7700  4 Tb 3.55, 5 Ho 3.55-3.58, 3 Sm 3.56-3.60
Tb2 0.3091 0.1519 0.2300  4 Tb 3.55, 5 Ho 3.55-3.58, 3 Sm 3.56-3.60
Tb3 0.0000 0.0000 0.0000  8 Tb 3.55, 4 Ho 3.57
Tb4 0.5391 0.7700 0.1519  4 Tb 3.55, 5 Ho 3.55-3.58, 3 Sm 3.56-3.60
Tb5 0.4609 0.2300 0.8481  4 Tb 3.55, 5 Ho 3.55-3.58, 3 Sm 3.56-3.60
Sm1 0.9225 0.4606 0.6943  4 Ho 3.55-3.57, 3 Tb 3.56-3.60, 5 Sm 3.59-3.61
Sm2 0.6168 0.3057 0.4606  4 Ho 3.55-3.57, 3 Tb 3.56-3.60, 5 Sm 3.59-3.61
Sm3 0.0775 0.5394 0.3057  4 Ho 3.55-3.57, 3 Tb 3.56-3.60, 5 Sm 3.59-3.61
Sm4 0.3832 0.6943 0.5394  4 Ho 3.55-3.57, 3 Tb 3.56-3.60, 5 Sm 3.59-3.61
Ho1 0.7696 0.3841 0.0766  4 Sm 3.55-3.57, 6 Tb 3.55-3.58, 2 Ho 3.57
Ho2 0.2304 0.6159 0.9234  4 Sm 3.55-3.57, 6 Tb 3.55-3.58, 2 Ho 3.57
Ho3 0.8462 0.9234 0.3841  4 Sm 3.55-3.57, 6 Tb 3.55-3.58, 2 Ho 3.57
Ho4 0.1538 0.0766 0.6159  4 Sm 3.55-3.57, 6 Tb 3.55-3.58, 2 Ho 3.57

***

3.
Tb6Sm19Ho4: relaxed, GGA-PBE.

abc: 10.8879 10.8881 10.8878
angles: 109.47 109.47 109.47
Last column: nearest neighbours and their distance in Å.
Element x y z (fractional)
Tb1 0.3749 0.5000 0.8749  1 Tb 3.15, 4 Sm 3.20-3.42
Tb2 0.6251 0.5000 0.1251  1 Tb 3.15, 4 Sm 3.20-3.42
Tb3 0.1251 0.6251 0.5000  1 Tb 3.15, 4 Sm 3.20-3.42
Tb4 0.8749 0.3749 0.5000  1 Tb 3.15, 4 Sm 3.20-3.42
Tb5 0.5000 0.8749 0.3749  1 Tb 3.15, 4 Sm 3.20-3.42
Tb6 0.5000 0.1251 0.6251  1 Tb 3.15, 4 Sm 3.20-3.42
Sm1 0.7414 0.0000 0.7414  5 Sm 3.25-3.62, 2 Ho 3.35, 2 Tb 3.42
Sm2 0.2586 0.0000 0.2586  5 Sm 3.25-3.62, 2 Ho 3.35, 2 Tb 3.42
Sm3 0.2586 0.2586 0.0000  5 Sm 3.25-3.62, 2 Ho 3.35, 2 Tb 3.42
Sm4 0.7414 0.7414 0.0000  5 Sm 3.25-3.62, 2 Ho 3.35, 2 Tb 3.42
Sm5 0.0000 0.7414 0.7414  5 Sm 3.25-3.62, 2 Ho 3.35, 2 Tb 3.42
Sm6 0.0000 0.2586 0.2586  5 Sm 3.25-3.62, 2 Ho 3.35, 2 Tb 3.42
Sm7 0.0000 0.0000 0.0000  6 Sm 3.25
Sm8 0.1989 0.2190 0.5422  1 Tb 3.20, 2 Ho 3.36-3.45, 1 Sm 3.39
Sm9 0.8011 0.3433 0.0201  1 Tb 3.20, 2 Ho 3.36-3.45, 1 Sm 3.39
Sm10 0.6768 0.6567 0.4578  1 Tb 3.20, 2 Ho 3.36-3.45, 1 Sm 3.39
Sm11 0.0201 0.8011 0.3433  1 Tb 3.20, 2 Ho 3.36-3.45, 1 Sm 3.39
Sm12 0.3232 0.7810 0.9799  1 Tb 3.20, 2 Ho 3.36-3.45, 1 Sm 3.39
Sm13 0.5422 0.1989 0.2190  1 Tb 3.20, 2 Ho 3.36-3.45, 1 Sm 3.39
Sm14 0.9799 0.3232 0.7810  1 Tb 3.20, 2 Ho 3.36-3.45, 1 Sm 3.39
Sm15 0.4578 0.6768 0.6567  1 Tb 3.20, 2 Ho 3.36-3.45, 1 Sm 3.39
Sm16 0.7810 0.9799 0.3232  1 Tb 3.20, 2 Ho 3.36-3.45, 1 Sm 3.39
Sm17 0.3433 0.0201 0.8011  1 Tb 3.20, 2 Ho 3.36-3.45, 1 Sm 3.39
Sm18 0.2190 0.5422 0.1989  1 Tb 3.20, 2 Ho 3.36-3.45, 1 Sm 3.39
Sm19 0.6567 0.4578 0.6768  1 Tb 3.20, 2 Ho 3.36-3.45, 1 Sm 3.39
Ho1 0.0000 0.0000 0.6397  9 Sm 3.35-3.45
Ho2 0.0000 0.6397 0.0000  9 Sm 3.35-3.45
Ho3 0.3603 0.3603 0.3603  9 Sm 3.35-3.45
Ho4 0.6397 0.0000 0.0000  9 Sm 3.35-3.45

***

4.
TbSm3Ho6: relaxed, GGA-PBE.

Computed properties:
As for the energy above the most stable polymorph in this dataset: 0.0 meV/atom.

abc: 6.2414 10.9421 10.9421
angles: 119.68 90.00 90.00
Last column: nearest neighbours and their distance in Å.
Element x y z (fractional)
Tb1 0.1381 0.2031 0.7969  3 Sm 3.26-3.56, 7 Ho 3.27-3.47
Tb2 0.6381 0.7969 0.2031  3 Sm 3.26-3.56, 7 Ho 3.27-3.47
Sm1 0.4600 0.9390 0.7169  1 Tb 3.26, 6 Ho 3.29-3.57
Sm2 0.9600 0.7169 0.9390  1 Tb 3.26, 6 Ho 3.29-3.57
Sm3 0.0684 0.3899 0.6101  7 Ho 3.39-3.79, 1 Tb 3.56, 2 Sm 3.67
Sm4 0.5684 0.6101 0.3899  7 Ho 3.39-3.79, 1 Tb 3.56, 2 Sm 3.67
Sm5 0.9600 0.0610 0.2831  1 Tb 3.26, 6 Ho 3.29-3.57
Sm6 0.4600 0.2831 0.0610  1 Tb 3.26, 6 Ho 3.29-3.57
Ho1 0.0401 0.7117 0.6183  5 Ho 3.39-3.79, 4 Sm 3.40-3.66
Ho2 0.5401 0.6183 0.7117  5 Ho 3.39-3.79, 4 Sm 3.40-3.66
Ho3 0.3676 0.5354 0.9559  5 Ho 3.21-3.47, 2 Tb 3.27-3.47, 2 Sm 3.29-3.52
Ho4 0.8676 0.9559 0.5354  5 Ho 3.21-3.47, 2 Tb 3.27-3.47, 2 Sm 3.29-3.52
Ho5 0.4008 0.9557 0.0443  1 Tb 3.35, 4 Sm 3.51-3.57, 2 Ho 3.54
Ho6 0.6426 0.2786 0.7214  4 Ho 3.21-3.39, 1 Sm 3.39, 2 Tb 3.41-3.46
Ho7 0.1426 0.7214 0.2786  4 Ho 3.21-3.39, 1 Sm 3.39, 2 Tb 3.41-3.46
Ho8 0.9008 0.0443 0.9557  1 Tb 3.35, 4 Sm 3.51-3.57, 2 Ho 3.54
Ho9 0.3676 0.0441 0.4646  5 Ho 3.21-3.47, 2 Tb 3.27-3.47, 2 Sm 3.29-3.52
Ho10 0.8676 0.4646 0.0441  5 Ho 3.21-3.47, 2 Tb 3.27-3.47, 2 Sm 3.29-3.52
Ho11 0.0401 0.3817 0.2883  5 Ho 3.39-3.79, 4 Sm 3.40-3.66
Ho12 0.5401 0.2883 0.3817  5 Ho 3.39-3.79, 4 Sm 3.40-3.66

***

5.
Tb5Sm3Ho2: relaxed, GGA-PBE.

Computed properties:
As for the energy above the most stable polymorph in this dataset: 64.9 meV/atom.

abc: 6.7306 11.0113 11.0113
angles: 60.96 72.20 72.20
Last column: nearest neighbours and their distance in Å.
Element x y z (fractional)
Tb1 0.2500 0.5000 0.5000  6 Tb 3.37-3.63, 4 Ho 3.42
Tb2 0.7500 0.5000 0.5000  6 Tb 3.37-3.63, 4 Ho 3.42
Tb3 0.4311 0.8189 0.8189  1 Sm 3.21, 4 Tb 3.33-3.37
Tb4 0.0689 0.1811 0.1811  1 Sm 3.21, 4 Tb 3.33-3.37
Tb5 0.5689 0.1811 0.1811  1 Sm 3.21, 4 Tb 3.33-3.37
Tb6 0.9311 0.8189 0.8189  1 Sm 3.21, 4 Tb 3.33-3.37
Tb7 0.1698 0.4310 0.2293  1 Ho 3.14, 2 Tb 3.33, 1 Sm 3.46
Tb8 0.8302 0.5690 0.7707  1 Ho 3.14, 2 Tb 3.33, 1 Sm 3.46
Tb9 0.6698 0.2293 0.4310  1 Ho 3.14, 2 Tb 3.33, 1 Sm 3.46
Tb10 0.3302 0.7707 0.5690  1 Ho 3.14, 2 Tb 3.33, 1 Sm 3.46
Sm1 0.2500 0.0000 0.0000  4 Ho 3.16, 2 Tb 3.21, 2 Sm 3.37
Sm2 0.7500 0.0000 0.0000  4 Ho 3.16, 2 Tb 3.21, 2 Sm 3.37
Sm3 0.3290 0.4620 0.8800  6 Tb 3.46-3.66, 1 Ho 3.55
Sm4 0.6710 0.5380 0.1200  6 Tb 3.46-3.66, 1 Ho 3.55
Sm5 0.8290 0.8800 0.4620  6 Tb 3.46-3.66, 1 Ho 3.55
Sm6 0.1710 0.1200 0.5380  6 Tb 3.46-3.66, 1 Ho 3.55
Ho1 0.0258 0.7379 0.2105  3 Tb 3.14-3.42, 2 Sm 3.16, 2 Ho 3.49
Ho2 0.9742 0.2621 0.7895  3 Tb 3.14-3.42, 2 Sm 3.16, 2 Ho 3.49
Ho3 0.5258 0.2105 0.7379  3 Tb 3.14-3.42, 2 Sm 3.16, 2 Ho 3.49
Ho4 0.4742 0.7895 0.2621  3 Tb 3.14-3.42, 2 Sm 3.16, 2 Ho 3.49

***

6.
Tb3SmHo12: relaxed, GGA-PBE.

abc: 5.0015 5.0015 19.9997
angles: 90.00 90.00 90.00
Last column: nearest neighbours and their distance in Å.
Element x y z (fractional)
Tb1 0.0000 0.0000 0.2504  12 Ho 3.53-3.54
Tb2 0.0000 0.0000 0.5000  12 Ho 3.53-3.54
Tb3 0.0000 0.0000 0.7496  12 Ho 3.53-3.54
Sm1 0.0000 0.0000 0.0000  12 Ho 3.54-3.55
Ho1 0.5000 0.5000 0.0000  4 Sm 3.54, 8 Ho 3.55
Ho2 0.5000 0.5000 0.2506  8 Ho 3.53, 4 Tb 3.54
Ho3 0.5000 0.5000 0.5000  8 Ho 3.53, 4 Tb 3.54
Ho4 0.5000 0.5000 0.7494  8 Ho 3.53, 4 Tb 3.54
Ho5 0.5000 0.0000 0.1257  2 Tb 3.53, 8 Ho 3.53-3.55, 2 Sm 3.55
Ho6 0.5000 0.0000 0.3752  8 Ho 3.53-3.54, 4 Tb 3.53
Ho7 0.5000 0.0000 0.6248  8 Ho 3.53-3.54, 4 Tb 3.53
Ho8 0.5000 0.0000 0.8743  2 Tb 3.53, 8 Ho 3.53-3.55, 2 Sm 3.55
Ho9 0.0000 0.5000 0.1257  2 Tb 3.53, 8 Ho 3.53-3.55, 2 Sm 3.55
Ho10 0.0000 0.5000 0.3752  8 Ho 3.53-3.54, 4 Tb 3.53
Ho11 0.0000 0.5000 0.6248  8 Ho 3.53-3.54, 4 Tb 3.53
Ho12 0.0000 0.5000 0.8743  2 Tb 3.53, 8 Ho 3.53-3.55, 2 Sm 3.55

***

7.
Tb6Sm2Ho: relaxed, GGA-PBE.

abc: 6.5983 9.6110 9.6110
angles: 96.29 80.37 80.37
Last column: nearest neighbours and their distance in Å.
Element x y z (fractional)
Tb1 0.5045 0.6503 0.2778  5 Tb 3.25-3.58, 1 Ho 3.32, 3 Sm 3.38-3.52
Tb2 0.9955 0.7222 0.3497  5 Tb 3.25-3.58, 1 Ho 3.32, 3 Sm 3.38-3.52
Tb3 0.4955 0.3497 0.7222  5 Tb 3.25-3.58, 1 Ho 3.32, 3 Sm 3.38-3.52
Tb4 0.0045 0.2778 0.6503  5 Tb 3.25-3.58, 1 Ho 3.32, 3 Sm 3.38-3.52
Tb5 0.7266 0.0593 0.4621  6 Tb 3.37-3.55, 2 Sm 3.46-3.67, 1 Ho 3.51
Tb6 0.7734 0.5379 0.9407  6 Tb 3.37-3.55, 2 Sm 3.46-3.67, 1 Ho 3.51
Tb7 0.2734 0.9407 0.5379  6 Tb 3.37-3.55, 2 Sm 3.46-3.67, 1 Ho 3.51
Tb8 0.2266 0.4621 0.0593  6 Tb 3.37-3.55, 2 Sm 3.46-3.67, 1 Ho 3.51
Tb9 0.3167 0.7779 0.9581  3 Tb 3.28-3.44, 1 Ho 3.41, 2 Sm 3.50-3.53
Tb10 0.1833 0.0419 0.2221  3 Tb 3.28-3.44, 1 Ho 3.41, 2 Sm 3.50-3.53
Tb11 0.6833 0.2221 0.0419  3 Tb 3.28-3.44, 1 Ho 3.41, 2 Sm 3.50-3.53
Tb12 0.8167 0.9581 0.7779  3 Tb 3.28-3.44, 1 Ho 3.41, 2 Sm 3.50-3.53
Sm1 0.1292 0.6193 0.6679  3 Sm 3.37-3.63, 7 Tb 3.38-3.67
Sm2 0.3708 0.3321 0.3807  3 Sm 3.37-3.63, 7 Tb 3.38-3.67
Sm3 0.8708 0.3807 0.3321  3 Sm 3.37-3.63, 7 Tb 3.38-3.67
Sm4 0.6292 0.6679 0.6193  3 Sm 3.37-3.63, 7 Tb 3.38-3.67
Ho1 0.2500 0.1185 0.8815  8 Tb 3.32-3.69
Ho2 0.7500 0.8815 0.1185  8 Tb 3.32-3.69

***

8.
Tb3Sm4Ho2: relaxed, GGA-PBE.

Computed properties:
As for the energy above the most stable polymorph in this dataset: 41.8 meV/atom.

abc: 7.0443 12.0508 12.0508
angles: 48.04 54.22 54.22
Last column: nearest neighbours and their distance in Å.
Element x y z (fractional)
Tb1 0.9102 0.1697 0.1700  2 Tb 3.52, 8 Sm 3.53-3.91, 4 Ho 3.58-3.81
Tb2 0.5898 0.8300 0.8303  2 Tb 3.52, 8 Sm 3.53-3.91, 4 Ho 3.58-3.81
Tb3 0.0898 0.8303 0.8300  2 Tb 3.52, 8 Sm 3.53-3.91, 4 Ho 3.58-3.81
Tb4 0.4102 0.1700 0.1697  2 Tb 3.52, 8 Sm 3.53-3.91, 4 Ho 3.58-3.81
Tb5 0.2500 0.5003 0.4997  2 Tb 3.52, 4 Ho 3.71, 8 Sm 3.71-3.73
Tb6 0.7500 0.4997 0.5003  2 Tb 3.52, 4 Ho 3.71, 8 Sm 3.71-3.73
Sm1 0.4754 0.8470 0.1780  4 Sm 3.24-3.55, 1 Ho 3.29, 2 Tb 3.58
Sm2 0.0246 0.8220 0.1530  4 Sm 3.24-3.55, 1 Ho 3.29, 2 Tb 3.58
Sm3 0.5246 0.1530 0.8220  4 Sm 3.24-3.55, 1 Ho 3.29, 2 Tb 3.58
Sm4 0.9754 0.1780 0.8470  4 Sm 3.24-3.55, 1 Ho 3.29, 2 Tb 3.58
Sm5 0.8437 0.1763 0.4798  2 Sm 3.24-3.27, 3 Ho 3.29-3.54, 2 Tb 3.53
Sm6 0.6563 0.5202 0.8237  2 Sm 3.24-3.27, 3 Ho 3.29-3.54, 2 Tb 3.53
Sm7 0.1563 0.8237 0.5202  2 Sm 3.24-3.27, 3 Ho 3.29-3.54, 2 Tb 3.53
Sm8 0.3437 0.4798 0.1763  2 Sm 3.24-3.27, 3 Ho 3.29-3.54, 2 Tb 3.53
Ho1 0.3226 0.1561 0.5214  1 Ho 3.28, 4 Sm 3.29-3.54, 2 Tb 3.58
Ho2 0.1774 0.4786 0.8439  1 Ho 3.28, 4 Sm 3.29-3.54, 2 Tb 3.58
Ho3 0.6774 0.8439 0.4786  1 Ho 3.28, 4 Sm 3.29-3.54, 2 Tb 3.58
Ho4 0.8226 0.5214 0.1561  1 Ho 3.28, 4 Sm 3.29-3.54, 2 Tb 3.58

***

Number 1: DFT formation energy 0.0983 eV/atom, calculated volume 421.9 Å³/f.u., Fermi-level density of states 30.97 states/eV per cell. Number 2: DFT formation energy 0.0154 eV/atom, calculated volume 417.6 Å³/f.u., Fermi-level density of states 17.28 states/eV per cell. Number 3: DFT formation energy 0.3657 eV/atom, calculated volume 993.6 Å³/f.u., Fermi-level density of states 40.01 states/eV per cell. Number 4: DFT formation energy 0.1495 eV/atom, calculated volume 324.6 Å³/f.u., Fermi-level density of states 28.79 states/eV per cell. Number 5: DFT formation energy 0.2610 eV/atom, calculated volume 333.6 Å³/f.u., Fermi-level density of states 31.80 states/eV per cell. Number 6: DFT formation energy 0.0193 eV/atom, calculated volume 500.3 Å³/f.u., Fermi-level density of states 20.77 states/eV per cell. Number 7: DFT formation energy 0.1120 eV/atom, calculated volume 293.2 Å³/f.u., Fermi-level density of states 22.97 states/eV per cell. Number 8: DFT formation energy 0.0568 eV/atom, calculated volume 292.2 Å³/f.u., Fermi-level density of states 26.91 states/eV per cell.